Entry 1:
Material: Li4TmSn
Method: DFT, PBE
State: relaxed

Symmetry: F-43m (216)
Calculated density, g/cm3: 4.5
V, Å³ per cell: 116.9
Formation energy, kcal/mol of atoms: -3.335
Total energy, eV per atom: -2.8329
D(E_F), states/eV/cell: 3.28

Unit cell a=5.488 b=5.488 c=5.488 alpha=60.00 beta=60.00 gamma=60.00
Atoms (fractional coordinates):
Tm 0.250 0.250 0.250
Sn 0.000 0.000 0.000
Li 0.625 0.625 0.124
Li 0.625 0.124 0.625
Li 0.625 0.625 0.625
Li 0.124 0.625 0.625



Entry 2:
Material: LiTmSn
Method: DFT, PBE
State: relaxed

Symmetry: I4mm (107)
Calculated density, g/cm3: 7.0
V, Å³ per cell: 69.5
Formation energy, kcal/mol of atoms: -6.798
Total energy, eV per atom: -3.7575
D(E_F), states/eV/cell: 2.17

Unit cell a=3.526 b=3.526 c=6.117 alpha=106.75 beta=106.75 gamma=90.00
Atoms (fractional coordinates):
Tm 0.614 0.614 0.227
Sn 0.929 0.929 0.859
Li 0.307 0.307 0.614



Entry 3:
Material: LiTmSn
Method: DFT, PBE
State: relaxed

Symmetry: P6_3mc (186)
Calculated density, g/cm3: 7.3
V, Å³ per cell: 538.7
Formation energy, kcal/mol of atoms: -14.413
Total energy, eV per atom: -4.0877
D(E_F), states/eV/cell: 4.77

Unit cell a=9.318 b=9.318 c=7.164 alpha=90.00 beta=90.00 gamma=120.00
Atoms (fractional coordinates):
Li 0.833 0.667 0.716
Li 0.833 0.167 0.716
Li 0.333 0.667 0.818
Li 0.667 0.333 0.318
Li 0.667 0.833 0.216
Li 0.167 0.333 0.216
Li 0.167 0.833 0.216
Li 0.333 0.167 0.716
Tm 0.000 0.000 0.001
Tm 0.000 0.000 0.501
Tm 0.510 0.490 0.006
Tm 0.021 0.510 0.506
Tm 0.490 0.979 0.506
Tm 0.510 0.021 0.006
Tm 0.979 0.490 0.006
Tm 0.490 0.510 0.506
Sn 0.167 0.833 0.768
Sn 0.667 0.333 0.740
Sn 0.333 0.667 0.240
Sn 0.833 0.167 0.268
Sn 0.167 0.334 0.768
Sn 0.334 0.167 0.268
Sn 0.833 0.666 0.268
Sn 0.666 0.833 0.768



Entry 4:
Material: Li2TmSn2
Method: DFT, PBE
State: relaxed

Symmetry: C2/m (12)
Calculated density, g/cm3: 6.2
V, Å³ per cell: 112.8
Formation energy, kcal/mol of atoms: -10.778
Total energy, eV per atom: -3.7284
D(E_F), states/eV/cell: 1.62
Energy above the most stable polymorph in this dataset, meV/atom: 0

Unit cell a=4.566 b=4.557 c=6.784 alpha=109.46 beta=90.00 gamma=120.06
Atoms (fractional coordinates):
Li 0.312 0.124 0.437
Li 0.688 0.876 0.563
Tm 0.500 0.500 0.000
Sn 0.078 0.656 0.733
Sn 0.922 0.344 0.267



Entry 5:
Material: Li2TmSn3
Method: DFT, PBE
State: relaxed

Symmetry: Cmmm (65)
Calculated density, g/cm3: 6.6
V, Å³ per cell: 134.6
Formation energy, kcal/mol of atoms: -10.320
Total energy, eV per atom: -3.8321
D(E_F), states/eV/cell: 2.14

Unit cell a=4.401 b=4.513 c=7.145 alpha=108.41 beta=90.00 gamma=90.00
Atoms (fractional coordinates):
Li 0.000 0.681 0.362
Li 0.000 0.319 0.638
Tm 0.000 0.000 0.000
Sn 0.500 0.170 0.339
Sn 0.500 0.500 0.000
Sn 0.500 0.830 0.661



Entry 6:
Material: LiTm7Sn4
Method: DFT, PBE
State: relaxed

Symmetry: C2/m (12)
Calculated density, g/cm3: 8.0
V, Å³ per cell: 344.3
Formation energy, kcal/mol of atoms: -5.710
Total energy, eV per atom: -4.3497
D(E_F), states/eV/cell: 11.68

Unit cell a=5.314 b=9.047 c=7.971 alpha=80.36 beta=70.53 gamma=72.92
Atoms (fractional coordinates):
Li 0.000 0.000 0.000
Tm 0.790 0.864 0.555
Tm 0.210 0.136 0.445
Tm 0.082 0.678 0.159
Tm 0.918 0.322 0.841
Tm 0.352 0.579 0.718
Tm 0.500 0.000 0.000
Tm 0.648 0.421 0.282
Sn 0.575 0.217 0.633
Sn 0.425 0.783 0.367
Sn 0.714 0.664 0.908
Sn 0.286 0.336 0.092



Entry 7:
Material: LiTmSn
Method: DFT, PBE
State: relaxed

Symmetry: F-43m (216)
Calculated density, g/cm3: 5.9
V, Å³ per cell: 83.4
Formation energy, kcal/mol of atoms: -9.413
Total energy, eV per atom: -3.8709

Unit cell a=4.903 b=4.903 c=4.903 alpha=60.00 beta=60.00 gamma=60.00
Atoms (fractional coordinates):
Tm 0.500 0.500 0.500
Sn 0.250 0.250 0.250
Li 0.000 0.000 0.000



Entry 8:
Material: Li4Tm3Sn4
Method: DFT, PBE
State: relaxed

Symmetry: Immm (71)
Calculated density, g/cm3: 7.0
V, Å³ per cell: 239.3
Formation energy, kcal/mol of atoms: -13.105
Total energy, eV per atom: -3.9393
D(E_F), states/eV/cell: 2.70

Unit cell a=4.549 b=7.072 c=8.546 alpha=114.44 beta=105.44 gamma=90.00
Atoms (fractional coordinates):
Li 0.326 0.136 0.652
Li 0.674 0.484 0.348
Li 0.674 0.864 0.348
Li 0.326 0.516 0.652
Tm 0.126 0.126 0.252
Tm 0.874 0.874 0.748
Tm 0.000 0.500 0.000
Sn 0.215 0.715 0.430
Sn 0.785 0.285 0.570
Sn 0.500 0.796 0.000
Sn 0.500 0.204 0.000



Entry 9:
Material: LiTmSn
Method: DFT, PBE
State: relaxed

Symmetry: P4/nmm (129)
Calculated density, g/cm3: 7.0
V, Å³ per cell: 139.4
Formation energy, kcal/mol of atoms: -13.125
Total energy, eV per atom: -4.0319
D(E_F), states/eV/cell: 1.15

Unit cell a=4.354 b=4.354 c=7.355 alpha=90.00 beta=90.00 gamma=90.00
Atoms (fractional coordinates):
Li 0.500 0.500 0.500
Li 0.000 0.000 0.500
Tm 0.000 0.500 0.834
Tm 0.500 0.000 0.166
Sn 0.000 0.500 0.255
Sn 0.500 0.000 0.745



Entry 10:
Material: LiTm12Sn6
Method: DFT, PBE
State: relaxed

Symmetry: R-3 (148)
Calculated density, g/cm3: 7.8
V, Å³ per cell: 585.3
Formation energy, kcal/mol of atoms: -4.496
Total energy, eV per atom: -4.3839
D(E_F), states/eV/cell: 19.19

Unit cell a=8.509 b=8.509 c=8.509 alpha=99.83 beta=99.83 gamma=99.83
Atoms (fractional coordinates):
Li 0.000 0.000 0.000
Tm 0.801 0.583 0.450
Tm 0.450 0.801 0.583
Tm 0.583 0.450 0.801
Tm 0.199 0.417 0.550
Tm 0.550 0.199 0.417
Tm 0.417 0.550 0.199
Tm 0.055 0.986 0.322
Tm 0.014 0.678 0.945
Tm 0.678 0.945 0.014
Tm 0.945 0.014 0.678
Tm 0.986 0.322 0.055
Tm 0.322 0.055 0.986
Sn 0.683 0.879 0.356
Sn 0.644 0.317 0.121
Sn 0.121 0.644 0.317
Sn 0.317 0.121 0.644
Sn 0.356 0.683 0.879
Sn 0.879 0.356 0.683



Entry 11:
Material: Li8TmSn6
Method: DFT, PBE
State: relaxed

Symmetry: R-3 (148)
Calculated density, g/cm3: 4.6
V, Å³ per cell: 337.3
Formation energy, kcal/mol of atoms: -5.742
Total energy, eV per atom: -3.1689
D(E_F), states/eV/cell: 7.46

Unit cell a=8.273 b=8.273 c=7.430 alpha=56.17 beta=56.17 gamma=60.00
Atoms (fractional coordinates):
Li 0.548 0.200 0.368
Li 0.800 0.115 0.632
Li 0.115 0.452 0.632
Li 0.732 0.732 0.805
Li 0.268 0.268 0.195
Li 0.885 0.548 0.368
Li 0.200 0.885 0.368
Li 0.452 0.800 0.632
Tm 0.000 0.000 0.000
Sn 0.382 0.096 0.852
Sn 0.904 0.330 0.148
Sn 0.330 0.618 0.148
Sn 0.670 0.382 0.852
Sn 0.096 0.670 0.852
Sn 0.618 0.904 0.148



Entry 12:
Material: Li2TmSn9
Method: DFT, PBE
State: relaxed

Symmetry: P4/mmm (123)
Calculated density, g/cm3: 6.9
V, Å³ per cell: 302.8
Formation energy, kcal/mol of atoms: -4.940
Total energy, eV per atom: -3.9079
D(E_F), states/eV/cell: 5.63

Unit cell a=4.613 b=4.613 c=14.231 alpha=90.00 beta=90.00 gamma=90.00
Atoms (fractional coordinates):
Li 0.000 0.000 0.334
Li 0.000 0.000 0.666
Tm 0.000 0.000 0.000
Sn 0.500 0.500 0.000
Sn 0.500 0.500 0.336
Sn 0.500 0.500 0.664
Sn 0.500 0.000 0.171
Sn 0.500 0.000 0.500
Sn 0.500 0.000 0.829
Sn 0.000 0.500 0.171
Sn 0.000 0.500 0.500
Sn 0.000 0.500 0.829



Which value of formation energy does entry 3 give? -14.413 kcal/mol of atoms



V of number 2 (LiTmSn)? 69.5 Å³ per cell



The highest formation energy belongs to which entry? Li4TmSn